(1)
An optimized crystal structure of KScAs4. Source: Alexandria, functional PBE.

abc: 5.7381 5.7381 5.7381
angles: 60.00 60.00 60.00
With the nearest neighbours (Å) after each atom.
Fractional positions:
K  0.0000  0.0000  0.0000  12 As 3.37, 4 Sc 3.51
Sc  0.7500  0.7500  0.7500  12 As 3.36, 4 K 3.51
As  0.3763  0.3763  0.3763  6 As 2.84-2.90
As  0.3763  0.3763  0.8710  6 As 2.84-2.90
As  0.3763  0.8710  0.3763  6 As 2.84-2.90
As  0.8710  0.3763  0.3763  6 As 2.84-2.90

## Properties
total magnetic moment: 0.0003 μB per atom
formation energy: -0.363 eV per formula unit

---

(2)
An optimized crystal structure of CeCuN2. Source: Alexandria, functional PBE.

abc: 3.9091 3.9091 3.2633
angles: 90.00 90.00 90.00
With the nearest neighbours (Å) after each atom.
Fractional positions:
Ce  0.0000  0.0000  0.0000  8 N 2.55
Cu  0.5000  0.5000  0.5000  4 N 1.95
N  0.0000  0.5000  0.5000  2 Cu 1.95
N  0.5000  0.0000  0.5000  2 Cu 1.95

## Properties
total magnetic moment: 0.0000 μB per atom
uncorrected formation energy: -0.58 eV per atom

---

(3)
An optimized crystal structure of La12Cd3H5. Source: Alexandria, functional PBE.

abc: 14.2713 14.2713 14.2713
angles: 109.47 109.47 109.47
With the nearest neighbours (Å) after each atom.
Fractional positions:
La  0.0137  0.2059  0.1073  1 H 2.33
La  0.0137  0.3077  0.9063  1 H 2.33
La  0.0937  0.6073  0.4014  1 H 2.33
La  0.0937  0.9863  0.6923  1 H 2.33
La  0.0986  0.7059  0.6923  1 H 2.33
La  0.0986  0.8927  0.4063  1 H 2.33
La  0.1073  0.0137  0.2059  1 H 2.33
La  0.1073  0.5937  0.9014  1 H 2.33
La  0.1923  0.2059  0.5986  1 H 2.33
La  0.1923  0.4863  0.5937  1 H 2.33
La  0.2059  0.1073  0.0137  1 H 2.33
La  0.2059  0.5986  0.1923  1 H 2.33
La  0.2941  0.3077  0.9014  1 H 2.33
La  0.2941  0.4863  0.3927  1 H 2.33
La  0.3077  0.9014  0.2941  1 H 2.33
La  0.3077  0.9063  0.0137  1 H 2.33
La  0.3927  0.2941  0.4863  1 H 2.33
La  0.3927  0.5986  0.9063  1 H 2.33
La  0.4014  0.0937  0.6073  1 H 2.33
La  0.4014  0.8077  0.7941  1 H 2.33
La  0.4063  0.0986  0.8927  1 H 2.33
La  0.4063  0.8077  0.5137  1 H 2.33
La  0.4863  0.3927  0.2941  1 H 2.33
La  0.4863  0.5937  0.1923  1 H 2.33
La  0.5137  0.4063  0.8077  1 H 2.33
La  0.5137  0.6073  0.7059  1 H 2.33
La  0.5937  0.1923  0.4863  1 H 2.33
La  0.5937  0.9014  0.1073  1 H 2.33
La  0.5986  0.1923  0.2059  1 H 2.33
La  0.5986  0.9063  0.3927  1 H 2.33
La  0.6073  0.4014  0.0937  1 H 2.33
La  0.6073  0.7059  0.5137  1 H 2.33
La  0.6923  0.0937  0.9863  1 H 2.33
La  0.6923  0.0986  0.7059  1 H 2.33
La  0.7059  0.5137  0.6073  1 H 2.33
La  0.7059  0.6923  0.0986  1 H 2.33
La  0.7941  0.4014  0.8077  1 H 2.33
La  0.7941  0.8927  0.9863  1 H 2.33
La  0.8077  0.5137  0.4063  1 H 2.33
La  0.8077  0.7941  0.4014  1 H 2.33
La  0.8927  0.4063  0.0986  1 H 2.33
La  0.8927  0.9863  0.7941  1 H 2.33
La  0.9014  0.1073  0.5937  1 H 2.33
La  0.9014  0.2941  0.3077  1 H 2.33
La  0.9063  0.0137  0.3077  1 H 2.33
La  0.9063  0.3927  0.5986  1 H 2.33
La  0.9863  0.6923  0.0937  1 H 2.33
La  0.9863  0.7941  0.8927  1 H 2.33
Cd  0.1250  0.2500  0.3750  8 La 3.30-3.35
Cd  0.1250  0.3750  0.7500  8 La 3.30-3.35
Cd  0.2500  0.3750  0.1250  8 La 3.30-3.35
Cd  0.2500  0.8750  0.6250  8 La 3.30-3.35
Cd  0.3750  0.1250  0.2500  8 La 3.30-3.35
Cd  0.3750  0.7500  0.1250  8 La 3.30-3.35
Cd  0.6250  0.2500  0.8750  8 La 3.30-3.35
Cd  0.6250  0.8750  0.7500  8 La 3.30-3.35
Cd  0.7500  0.1250  0.3750  8 La 3.30-3.35
Cd  0.7500  0.6250  0.8750  8 La 3.30-3.35
Cd  0.8750  0.6250  0.2500  8 La 3.30-3.35
Cd  0.8750  0.7500  0.6250  8 La 3.30-3.35
H  0.0000  0.0000  0.0000  6 La 2.73
H  0.0000  0.0000  0.5000  6 La 2.73
H  0.0000  0.5000  0.0000  6 La 2.73
H  0.0000  0.5000  0.5000  6 La 2.73
H  0.1250  0.7500  0.8750  4 La 2.33
H  0.1250  0.8750  0.2500  4 La 2.33
H  0.2500  0.1250  0.8750  4 La 2.33
H  0.2500  0.6250  0.3750  4 La 2.33
H  0.3750  0.2500  0.6250  4 La 2.33
H  0.3750  0.6250  0.7500  4 La 2.33
H  0.5000  0.0000  0.0000  6 La 2.73
H  0.5000  0.0000  0.5000  6 La 2.73
H  0.5000  0.5000  0.0000  6 La 2.73
H  0.5000  0.5000  0.5000  6 La 2.73
H  0.6250  0.3750  0.2500  4 La 2.33
H  0.6250  0.7500  0.3750  4 La 2.33
H  0.7500  0.3750  0.6250  4 La 2.33
H  0.7500  0.8750  0.1250  4 La 2.33
H  0.8750  0.1250  0.7500  4 La 2.33
H  0.8750  0.2500  0.1250  4 La 2.33

## Properties
total magnetic moment: 0.0000 μB per atom
E_tot: -4.1300 eV/atom

---

(4)
An optimized crystal structure of RbP2Rh2. Source: Alexandria, functional PBE.

abc: 4.0073 4.0073 6.4841
angles: 90.00 90.00 90.00
With the nearest neighbours (Å) after each atom.
Fractional positions:
Rb  0.0000  0.0000  0.0000  8 P 3.43, 8 Rh 3.81
P  0.5000  0.5000  0.2994  4 Rh 2.39, 1 P 2.60
P  0.5000  0.5000  0.7006  4 Rh 2.39, 1 P 2.60
Rh  0.0000  0.5000  0.5000  4 P 2.39
Rh  0.5000  0.0000  0.5000  4 P 2.39

## Properties
total magnetic moment: 0.0000 μB per atom
formation energy: -2.081 eV per formula unit

---

(5)
An optimized crystal structure of Tm2MgP3Rh12. Source: Alexandria, functional PBE.

abc: 6.6426 6.6426 6.6426
angles: 83.07 83.07 83.07
With the nearest neighbours (Å) after each atom.
Fractional positions:
Tm  0.1270  0.1270  0.1270  3 Rh 2.54
Tm  0.8730  0.8730  0.8730  3 Rh 2.54
Mg  0.5000  0.5000  0.5000  6 Rh 2.58
P  0.0000  0.5000  0.5000  2 Rh 2.22
P  0.5000  0.0000  0.5000  2 Rh 2.22
P  0.5000  0.5000  0.0000  2 Rh 2.22
Rh  0.1291  0.1291  0.5949  2 P 2.54, 1 Rh 2.68
Rh  0.1291  0.5949  0.1291  2 P 2.54, 1 Rh 2.68
Rh  0.1686  0.6760  0.6760  1 P 2.22
Rh  0.3240  0.3240  0.8314  1 P 2.22
Rh  0.3240  0.8314  0.3240  1 P 2.22
Rh  0.4051  0.8709  0.8709  2 P 2.54, 1 Rh 2.68
Rh  0.5949  0.1291  0.1291  2 P 2.54, 1 Rh 2.68
Rh  0.6760  0.1686  0.6760  1 P 2.22
Rh  0.6760  0.6760  0.1686  1 P 2.22
Rh  0.8314  0.3240  0.3240  1 P 2.22
Rh  0.8709  0.4051  0.8709  2 P 2.54, 1 Rh 2.68
Rh  0.8709  0.8709  0.4051  2 P 2.54, 1 Rh 2.68

## Properties
total magnetic moment: 0.0000 μB per atom
formation energy: -6.805 eV per formula unit

---

(6)
An optimized crystal structure of Na2BeCO4. Source: Alexandria, functional PBE.

abc: 10.1304 9.0670 5.3530
angles: 85.13 63.10 31.77
With the nearest neighbours (Å) after each atom.
Fractional positions:
Na  0.0511  0.0511  0.6989  8 O 2.57-2.79
Na  0.3011  0.3011  0.9489  8 O 2.57-2.79
Na  0.6989  0.6989  0.0511  8 O 2.57-2.79
Na  0.9489  0.9489  0.3011  8 O 2.57-2.79
Be  0.1250  0.1250  0.1250  4 O 1.61
Be  0.8750  0.8750  0.8750  4 O 1.61
C  0.3750  0.3750  0.3750  4 O 1.42
C  0.6250  0.6250  0.6250  4 O 1.42
O  0.0353  0.6269  0.5518  1 C 1.42
O  0.2860  0.5518  0.6269  1 C 1.42
O  0.3731  0.9647  0.7140  1 C 1.42
O  0.4482  0.7140  0.9647  1 C 1.42
O  0.5518  0.2860  0.0353  1 C 1.42
O  0.6269  0.0353  0.2860  1 C 1.42
O  0.7140  0.4482  0.3731  1 C 1.42
O  0.9647  0.3731  0.4482  1 C 1.42

## Properties
total magnetic moment: 0.0000 μB per atom
uncorrected formation energy: -1.71 eV per atom

---

(7)
An optimized crystal structure of CdPPd2. Source: Alexandria, functional PBE.

abc: 8.3199 8.3199 8.3199
angles: 21.11 21.11 21.11
With the nearest neighbours (Å) after each atom.
Fractional positions:
Cd  0.0000  0.0000  0.0000  6 Pd 2.92, 6 Cd 3.05
P  0.5000  0.5000  0.5000  6 Pd 2.47
Pd  0.2379  0.2379  0.2379  3 P 2.47
Pd  0.7621  0.7621  0.7621  3 P 2.47

## Properties
ΔE to the lowest computed polymorph: 0.141 eV/atom
total magnetic moment: 0.0000 μB per atom
formation energy: -1.032 eV per formula unit

---

(8)
An optimized crystal structure of ZnMoPt. Source: Alexandria, functional PBE.

abc: 2.8066 2.8066 6.7415
angles: 90.00 90.00 120.00
With the nearest neighbours (Å) after each atom.
Fractional positions:
Zn  0.0000  0.0000  0.0000  3 Pt 2.75, 6 Zn 2.81, 3 Mo 2.81
Mo  0.6667  0.3333  0.3410  3 Pt 2.75, 6 Mo 2.81, 3 Zn 2.81
Pt  0.3333  0.6667  0.6701  3 Mo 2.75, 3 Zn 2.75, 6 Pt 2.81

## Properties
total magnetic moment: 0.0000 μB per atom
formation energy: -0.261 eV per formula unit